## w
## Nd3SmDy4 (PBE-GGA)

Data for crystalline Nd3SmDy4 at its relaxed geometry.

a b c (Å): 11.579 7.329 6.317
angles (deg): 90.00 90.00 90.00
Element x y z (fractional)
1 Nd 0.000 0.127 0.000
2 Nd 0.250 0.127 0.336
3 Nd 0.250 0.873 0.836
4 Nd 0.500 0.873 0.500
5 Nd 0.750 0.127 0.336
6 Nd 0.750 0.873 0.836
7 Sm 0.000 0.871 0.500
8 Sm 0.500 0.129 0.000
9 Dy 0.000 0.378 0.501
10 Dy 0.000 0.622 0.002
11 Dy 0.250 0.378 0.834
12 Dy 0.250 0.622 0.334
13 Dy 0.500 0.378 0.502
14 Dy 0.500 0.622 0.001
15 Dy 0.750 0.378 0.834
16 Dy 0.750 0.622 0.334

Computed properties:
SG = Pmn2_1, No. 31
N(E_F) = 28.94 states/eV/cell

## x
## Nd3SmDy4 (PBE-GGA)

Data for crystalline Nd3SmDy4 at its relaxed geometry.

a b c (Å): 8.978 8.978 8.978
angles (deg): 157.68 98.49 85.83
Element x y z (fractional)
1 Nd 0.000 0.000 0.000
2 Nd 0.258 0.758 0.500
3 Nd 0.742 0.242 0.500
4 Sm 0.500 0.500 0.000
5 Dy 0.118 0.365 0.752
6 Dy 0.387 0.635 0.752
7 Dy 0.613 0.365 0.248
8 Dy 0.882 0.635 0.248

Computed properties:
SG = Immm, No. 71
N(E_F) = 12.57 states/eV/cell

Which structure is the most stable? The one labeled w.

## w
## NdSm2Dy7 (PBE-GGA)

Data for crystalline NdSm2Dy7 at its relaxed geometry.

a b c (Å): 9.745 9.745 5.170
angles (deg): 90.00 90.00 127.53
Element x y z (fractional)
1 Nd 0.000 0.000 0.000
2 Sm 0.298 0.702 0.500
3 Sm 0.702 0.298 0.500
4 Dy 0.072 0.289 0.500
5 Dy 0.197 0.803 0.000
6 Dy 0.289 0.072 0.500
7 Dy 0.500 0.500 0.500
8 Dy 0.711 0.928 0.500
9 Dy 0.803 0.197 0.000
10 Dy 0.928 0.711 0.500

Computed properties:
SG = Cmmm, No. 65
N(E_F) = 14.33 states/eV/cell

## x
## NdSm2Dy7 (PBE-GGA)

Data for crystalline NdSm2Dy7 at its relaxed geometry.

a b c (Å): 6.184 7.141 7.982
angles (deg): 77.13 75.11 73.25
Element x y z (fractional)
1 Nd 0.000 0.000 0.000
2 Sm 0.200 0.300 0.600
3 Sm 0.800 0.700 0.400
4 Dy 0.000 0.500 0.000
5 Dy 0.200 0.800 0.600
6 Dy 0.400 0.100 0.200
7 Dy 0.401 0.599 0.200
8 Dy 0.599 0.401 0.800
9 Dy 0.600 0.900 0.800
10 Dy 0.800 0.200 0.400

Computed properties:
SG = P-1, No. 2
N(E_F) = 13.16 states/eV/cell

Which structure is the most stable? The one labeled x.

## w
## NdSm3Dy4 (PBE-GGA)

Data for crystalline NdSm3Dy4 at its relaxed geometry.

a b c (Å): 8.939 8.939 8.939
angles (deg): 157.70 98.42 85.90
Element x y z (fractional)
1 Nd 0.000 0.000 0.000
2 Sm 0.242 0.742 0.500
3 Sm 0.500 0.500 0.000
4 Sm 0.758 0.258 0.500
5 Dy 0.115 0.865 0.249
6 Dy 0.384 0.135 0.249
7 Dy 0.616 0.865 0.751
8 Dy 0.885 0.135 0.751

Computed properties:
SG = Immm, No. 71
N(E_F) = 13.11 states/eV/cell

## x
## NdSm3Dy4 (PBE-GGA)

Data for crystalline NdSm3Dy4 at its relaxed geometry.

a b c (Å): 11.502 7.312 6.310
angles (deg): 90.00 90.00 90.00
Element x y z (fractional)
1 Nd 0.000 0.126 0.000
2 Nd 0.500 0.874 0.500
3 Sm 0.000 0.873 0.500
4 Sm 0.250 0.127 0.334
5 Sm 0.250 0.873 0.834
6 Sm 0.500 0.127 0.000
7 Sm 0.750 0.127 0.334
8 Sm 0.750 0.873 0.834
9 Dy 0.000 0.378 0.501
10 Dy 0.000 0.622 0.001
11 Dy 0.249 0.623 0.334
12 Dy 0.251 0.377 0.834
13 Dy 0.500 0.378 0.501
14 Dy 0.500 0.622 0.001
15 Dy 0.749 0.377 0.834
16 Dy 0.751 0.623 0.334

Computed properties:
SG = Pmn2_1, No. 31
N(E_F) = 28.80 states/eV/cell

Which structure is the most stable? The one labeled x.

## w
## Nd12Sm5Dy2 (PBE-GGA)

Data for crystalline Nd12Sm5Dy2 at its relaxed geometry.

a b c (Å): 10.405 10.405 8.958
angles (deg): 97.72 97.72 43.71
Element x y z (fractional)
1 Nd 0.044 0.044 0.175
2 Nd 0.116 0.555 0.737
3 Nd 0.135 0.649 0.143
4 Nd 0.322 0.322 0.395
5 Nd 0.351 0.865 0.857
6 Nd 0.445 0.884 0.263
7 Nd 0.555 0.116 0.737
8 Nd 0.649 0.135 0.143
9 Nd 0.678 0.678 0.605
10 Nd 0.865 0.351 0.857
11 Nd 0.884 0.445 0.263
12 Nd 0.956 0.956 0.825
13 Sm 0.168 0.168 0.581
14 Sm 0.247 0.247 0.002
15 Sm 0.500 0.500 0.000
16 Sm 0.753 0.753 0.998
17 Sm 0.832 0.832 0.419
18 Dy 0.258 0.742 0.500
19 Dy 0.742 0.258 0.500

Computed properties:
SG = C2/m, No. 12
N(E_F) = 24.74 states/eV/cell

## x
## Nd12Sm5Dy2 (PBE-GGA)

Data for crystalline Nd12Sm5Dy2 at its relaxed geometry.

a b c (Å): 10.023 10.023 10.579
angles (deg): 109.93 109.93 42.17
Element x y z (fractional)
1 Nd 0.001 0.001 0.322
2 Nd 0.082 0.585 0.476
3 Nd 0.092 0.587 0.131
4 Nd 0.413 0.908 0.869
5 Nd 0.415 0.918 0.524
6 Nd 0.475 0.475 0.756
7 Nd 0.525 0.525 0.244
8 Nd 0.585 0.082 0.476
9 Nd 0.587 0.092 0.131
10 Nd 0.908 0.413 0.869
11 Nd 0.918 0.415 0.524
12 Nd 0.999 0.999 0.678
13 Sm 0.174 0.174 0.208
14 Sm 0.314 0.314 0.815
15 Sm 0.500 0.500 0.500
16 Sm 0.686 0.686 0.185
17 Sm 0.826 0.826 0.792
18 Dy 0.223 0.777 0.000
19 Dy 0.777 0.223 0.000

Computed properties:
SG = C2/m, No. 12
N(E_F) = 31.87 states/eV/cell

Which structure is the most stable? The one labeled w.

## w
## NdSm4Dy3 (PBE-GGA)

Data for crystalline NdSm4Dy3 at its relaxed geometry.

a b c (Å): 11.550 7.327 6.329
angles (deg): 90.00 90.00 90.00
Element x y z (fractional)
1 Nd 0.000 0.125 0.000
2 Nd 0.500 0.875 0.500
3 Sm 0.000 0.373 0.502
4 Sm 0.000 0.627 0.998
5 Sm 0.248 0.625 0.333
6 Sm 0.252 0.375 0.833
7 Sm 0.500 0.373 0.498
8 Sm 0.500 0.627 0.002
9 Sm 0.748 0.375 0.833
10 Sm 0.752 0.625 0.333
11 Dy 0.000 0.877 0.500
12 Dy 0.250 0.124 0.333
13 Dy 0.250 0.876 0.833
14 Dy 0.500 0.123 0.000
15 Dy 0.750 0.124 0.333
16 Dy 0.750 0.876 0.833

Computed properties:
SG = Pmn2_1, No. 31
N(E_F) = 28.03 states/eV/cell

## x
## NdSm4Dy3 (PBE-GGA)

Data for crystalline NdSm4Dy3 at its relaxed geometry.

a b c (Å): 10.173 7.211 7.205
angles (deg): 90.00 90.00 90.00
Element x y z (fractional)
1 Nd 0.000 0.000 0.000
2 Nd 0.500 0.000 0.500
3 Sm 0.000 0.000 0.500
4 Sm 0.000 0.500 0.000
5 Sm 0.250 0.252 0.250
6 Sm 0.250 0.748 0.750
7 Sm 0.500 0.000 0.000
8 Sm 0.500 0.500 0.500
9 Sm 0.750 0.252 0.250
10 Sm 0.750 0.748 0.750
11 Dy 0.000 0.500 0.500
12 Dy 0.250 0.252 0.750
13 Dy 0.250 0.748 0.250
14 Dy 0.500 0.500 0.000
15 Dy 0.750 0.252 0.750
16 Dy 0.750 0.748 0.250

Computed properties:
SG = Pmna, No. 53
N(E_F) = 22.08 states/eV/cell

Which structure is the most stable? The one labeled x.

## w
## Nd5Sm5Dy (PBE-GGA)

Data for crystalline Nd5Sm5Dy at its relaxed geometry.

a b c (Å): 9.819 9.819 7.035
angles (deg): 106.92 106.92 36.41
Element x y z (fractional)
1 Nd 0.000 0.000 0.000
2 Nd 0.330 0.330 0.306
3 Nd 0.374 0.374 0.847
4 Nd 0.626 0.626 0.153
5 Nd 0.670 0.670 0.694
6 Sm 0.173 0.173 0.420
7 Sm 0.177 0.177 0.914
8 Sm 0.500 0.500 0.500
9 Sm 0.823 0.823 0.086
10 Sm 0.827 0.827 0.580
11 Dy 0.000 0.000 0.500

Computed properties:
SG = C2/m, No. 12
N(E_F) = 17.23 states/eV/cell

## x
## Nd5Sm5Dy (PBE-GGA)

Data for crystalline Nd5Sm5Dy at its relaxed geometry.

a b c (Å): 7.017 7.018 8.816
angles (deg): 74.90 75.14 69.63
Element x y z (fractional)
1 Nd 0.000 0.000 0.000
2 Nd 0.146 0.648 0.363
3 Nd 0.355 0.270 0.735
4 Nd 0.645 0.730 0.265
5 Nd 0.854 0.352 0.637
6 Sm 0.223 0.150 0.271
7 Sm 0.320 0.816 0.636
8 Sm 0.500 0.500 0.000
9 Sm 0.680 0.184 0.364
10 Sm 0.777 0.850 0.729
11 Dy 0.000 0.500 0.000

Computed properties:
SG = P-1, No. 2
N(E_F) = 16.24 states/eV/cell

Which structure is the most stable? The one labeled x.

## w
## Nd7Sm3Dy2 (PBE-GGA)

Data for crystalline Nd7Sm3Dy2 at its relaxed geometry.

a b c (Å): 6.509 3.590 17.799
angles (deg): 90.00 95.99 90.00
Element x y z (fractional)
1 Nd 0.000 0.000 0.000
2 Nd 0.223 0.500 0.170
3 Nd 0.256 0.500 0.495
4 Nd 0.274 0.000 0.832
5 Nd 0.726 0.000 0.168
6 Nd 0.744 0.500 0.505
7 Nd 0.777 0.500 0.830
8 Sm 0.454 0.000 0.339
9 Sm 0.500 0.500 0.000
10 Sm 0.546 0.000 0.661
11 Dy 0.058 0.500 0.670
12 Dy 0.942 0.500 0.330

Computed properties:
SG = P2/m, No. 10
N(E_F) = 18.07 states/eV/cell

## x
## Nd7Sm3Dy2 (PBE-GGA)

Data for crystalline Nd7Sm3Dy2 at its relaxed geometry.

a b c (Å): 5.955 3.630 19.221
angles (deg): 90.00 93.30 90.00
Element x y z (fractional)
1 Nd 0.000 0.000 0.000
2 Nd 0.182 0.500 0.182
3 Nd 0.257 0.500 0.535
4 Nd 0.320 0.000 0.855
5 Nd 0.680 0.000 0.145
6 Nd 0.743 0.500 0.465
7 Nd 0.818 0.500 0.818
8 Sm 0.216 0.000 0.367
9 Sm 0.500 0.500 0.000
10 Sm 0.784 0.000 0.633
11 Dy 0.293 0.500 0.704
12 Dy 0.707 0.500 0.296

Computed properties:
SG = P2/m, No. 10
N(E_F) = 16.98 states/eV/cell

Which structure is the most stable? The one labeled w.

## w
## Nd5SmDy4 (PBE-GGA)

Data for crystalline Nd5SmDy4 at its relaxed geometry.

a b c (Å): 9.330 9.330 10.567
angles (deg): 96.06 96.06 22.26
Element x y z (fractional)
1 Nd 0.000 0.000 0.000
2 Nd 0.310 0.310 0.903
3 Nd 0.358 0.358 0.269
4 Nd 0.642 0.642 0.731
5 Nd 0.690 0.690 0.097
6 Sm 0.000 0.000 0.500
7 Dy 0.183 0.183 0.412
8 Dy 0.454 0.454 0.739
9 Dy 0.546 0.546 0.261
10 Dy 0.817 0.817 0.588

Computed properties:
SG = C2/m, No. 12
N(E_F) = 15.55 states/eV/cell

## x
## Nd5SmDy4 (PBE-GGA)

Data for crystalline Nd5SmDy4 at its relaxed geometry.

a b c (Å): 9.562 9.562 10.237
angles (deg): 105.82 105.82 21.85
Element x y z (fractional)
1 Nd 0.000 0.000 0.000
2 Nd 0.200 0.200 0.100
3 Nd 0.400 0.400 0.697
4 Nd 0.600 0.600 0.303
5 Nd 0.800 0.800 0.900
6 Sm 0.000 0.000 0.500
7 Dy 0.200 0.200 0.600
8 Dy 0.399 0.399 0.203
9 Dy 0.601 0.601 0.797
10 Dy 0.800 0.800 0.400

Computed properties:
SG = C2/m, No. 12
N(E_F) = 13.04 states/eV/cell

Which structure is the most stable? The one labeled x.